{"formula": "Ca2MgTi", "functional": "PBE-GGA", "state": "relaxed", "space_group": "I-42d (122)", "cell": [[8.615, 0.000, 0.000], [0.000, 8.615, 0.000], [4.308, 4.308, 3.258]], "species": ["Ti", "Ti", "Ca", "Ca", "Ca", "Ca", "Mg", "Mg"], "frac_coords": [[0.750, 0.250, 0.500], [0.000, 0.000, 0.000], [0.875, 0.872, 0.750], [0.128, 0.625, 0.250], [0.375, 0.378, 0.750], [0.622, 0.125, 0.250], [0.250, 0.750, 0.500], [0.500, 0.500, 0.000]]}


{"formula": "CaMgTi2", "functional": "PBE-GGA", "state": "relaxed", "space_group": "I-42d (122)", "cell": [[4.180, 0.000, 0.000], [0.000, 4.180, 0.000], [2.090, 2.090, 10.887]], "species": ["Mg", "Mg", "Ti", "Ti", "Ti", "Ti", "Ca", "Ca"], "frac_coords": [[0.250, 0.750, 0.500], [0.500, 0.500, 0.000], [0.875, 0.859, 0.750], [0.609, 0.125, 0.250], [0.375, 0.391, 0.750], [0.141, 0.625, 0.250], [0.000, 0.000, 0.000], [0.750, 0.250, 0.500]]}


{"formula": "CaMg2TiZn", "functional": "PBE-GGA", "state": "relaxed", "space_group": "P4/mmm (123)", "cell": [[-2.383, 3.155, -3.754], [-1.630, -4.591, -2.824], [-4.643, -0.109, 2.856]], "species": ["Ca", "Ti", "Mg", "Mg", "Zn"], "frac_coords": [[0.000, 0.500, 0.000], [0.000, 0.000, 0.000], [0.500, 0.000, 0.000], [0.000, 0.000, 0.500], [0.500, 0.500, 0.500]]}


no.,magnetization (Bohr magnetons per cell),calculated volume (Å³/atom),DFT total energy (eV/atom)
1,5.44,30.2,-2.765
2,6.83,23.8,-4.167
3,4.20,33.5,-1.942